CsUReN4: relaxed, PBE.

Cell lengths 6.039, 5.806, 8.396 Å; angles 90.00, 107.81, 90.00 degrees
Fractional positions:
1 Cs 0.210 0.250 0.436
2 Cs 0.790 0.750 0.564
3 U 0.298 0.250 0.960
4 U 0.702 0.750 0.040
5 Re 0.243 0.750 0.137
6 Re 0.757 0.250 0.863
7 N 0.013 0.750 0.939
8 N 0.052 0.750 0.268
9 N 0.471 0.513 0.151
10 N 0.471 0.987 0.151
11 N 0.529 0.013 0.849
12 N 0.529 0.487 0.849
13 N 0.948 0.250 0.732
14 N 0.987 0.250 0.061

- Formation energy without anion corrections: -3.5 eV/f.u.
- Space-group type: P2_1/m, No. 11
- Volume: 20.02 A^3/atom